Record 1
The following is a DFT calculation (SCAN) of LiBi3O6 at its PBEsol-relaxed geometry.

Cell: 6.6485 6.6485 6.6485 Å, 92.86 92.86 92.86°
Last column: nearest neighbours and their distance in Å.
Sites, in units of the cell vectors:
1 Li 0.0000 0.0000 0.0000  6 O 2.14
2 Li 0.5000 0.5000 0.5000  6 O 2.29
3 Bi 0.0656 0.5832 0.7578  6 O 2.22-2.44
4 Bi 0.2422 0.9344 0.4168  6 O 2.22-2.44
5 Bi 0.4168 0.2422 0.9344  6 O 2.22-2.44
6 Bi 0.5832 0.7578 0.0656  6 O 2.22-2.44
7 Bi 0.7578 0.0656 0.5832  6 O 2.22-2.44
8 Bi 0.9344 0.4168 0.2422  6 O 2.22-2.44
9 O 0.0305 0.9080 0.6897  1 Li 2.14, 3 Bi 2.24-2.36
10 O 0.0920 0.3103 0.9695  1 Li 2.14, 3 Bi 2.24-2.36
11 O 0.1816 0.5941 0.4162  3 Bi 2.22-2.44, 1 Li 2.29
12 O 0.3103 0.9695 0.0920  1 Li 2.14, 3 Bi 2.24-2.36
13 O 0.4059 0.5838 0.8184  3 Bi 2.22-2.44, 1 Li 2.29
14 O 0.4162 0.1816 0.5941  3 Bi 2.22-2.44, 1 Li 2.29
15 O 0.5838 0.8184 0.4059  3 Bi 2.22-2.44, 1 Li 2.29
16 O 0.5941 0.4162 0.1816  3 Bi 2.22-2.44, 1 Li 2.29
17 O 0.6897 0.0305 0.9080  1 Li 2.14, 3 Bi 2.24-2.36
18 O 0.8184 0.4059 0.5838  3 Bi 2.22-2.44, 1 Li 2.29
19 O 0.9080 0.6897 0.0305  1 Li 2.14, 3 Bi 2.24-2.36
20 O 0.9695 0.0920 0.3103  1 Li 2.14, 3 Bi 2.24-2.36

Values from the calculation:
Total moment: 0.00 μB per formula unit
Raw formation energy: -1088 meV/atom
Space-group type: R-3
Theoretical density: 8.3 Mg/m³

Record 2
The following is a DFT calculation (SCAN) of Li2BiO3 at its PBEsol-relaxed geometry.

Cell: 5.6428 5.6428 5.5464 Å, 90.00 90.00 57.89°
Last column: nearest neighbours and their distance in Å.
Sites, in units of the cell vectors:
1 Li 0.0245 0.6164 0.5000  4 O 1.96-2.04
2 Li 0.3836 0.9755 0.5000  4 O 1.96-2.04
3 Li 0.6164 0.0245 0.0000  4 O 1.96-2.04
4 Li 0.9755 0.3836 0.0000  4 O 1.96-2.04
5 Bi 0.2602 0.7398 0.9803  4 O 2.08-2.25
6 Bi 0.7398 0.2602 0.4803  4 O 2.08-2.25
7 O 0.0505 0.2878 0.6555  3 Li 1.96-1.98, 1 Bi 2.08
8 O 0.2878 0.0505 0.1555  3 Li 1.96-1.98, 1 Bi 2.08
9 O 0.3656 0.6344 0.5880  2 Li 2.04, 2 Bi 2.13-2.25
10 O 0.6344 0.3656 0.0880  2 Li 2.04, 2 Bi 2.13-2.25
11 O 0.7122 0.9495 0.6555  3 Li 1.96-1.98, 1 Bi 2.08
12 O 0.9495 0.7122 0.1555  3 Li 1.96-1.98, 1 Bi 2.08

Values from the calculation:
Total moment: 0.00 μB per formula unit
Raw formation energy: -1477 meV/atom
Energy relative to the lowest polymorph listed for this composition: 1.393 kcal/mol of atoms
Space-group type: Cmc2_1
Theoretical density: 6.0 Mg/m³

Record 3
The following is a DFT calculation (SCAN) of Li8BiO6 at its PBEsol-relaxed geometry.

Cell: 6.2154 6.2154 6.2154 Å, 53.29 53.29 53.29°
Last column: nearest neighbours and their distance in Å.
Sites, in units of the cell vectors:
1 Li 0.0074 0.7272 0.3996  4 O 1.88-2.01
2 Li 0.1464 0.1464 0.1464  3 O 2.10
3 Li 0.2728 0.6004 0.9926  4 O 1.88-2.01
4 Li 0.3996 0.0074 0.7272  4 O 1.88-2.01
5 Li 0.6004 0.9926 0.2728  4 O 1.88-2.01
6 Li 0.7272 0.3996 0.0074  4 O 1.88-2.01
7 Li 0.8536 0.8536 0.8536  3 O 2.10
8 Li 0.9926 0.2728 0.6004  4 O 1.88-2.01
9 Bi 0.5000 0.5000 0.5000  6 O 2.25
10 O 0.1019 0.3968 0.7439  5 Li 1.88-2.10
11 O 0.2561 0.8981 0.6032  5 Li 1.88-2.10
12 O 0.3968 0.7439 0.1019  5 Li 1.88-2.10
13 O 0.6032 0.2561 0.8981  5 Li 1.88-2.10
14 O 0.7439 0.1019 0.3968  5 Li 1.88-2.10
15 O 0.8981 0.6032 0.2561  5 Li 1.88-2.10

Values from the calculation:
Total moment: 0.97 μB per formula unit
Raw formation energy: -1827 meV/atom
Energy relative to the lowest polymorph listed for this composition: 0.000 kcal/mol of atoms
Space-group type: R-3
Theoretical density: 4.2 Mg/m³

Q: What is the total moment in the third record?
A: 0.97 μB per formula unit